#i
VASP calculation (PBE) on crystalline CeNbRh2 at its relaxed geometry.

The structure belongs to space group P4/mmm (No. 123); the cell edges are 3.145, 3.145 and 7.449 Å and the angles 90.00°, 90.00° and 90.00°. The distinct sites, in fractional coordinates, are Ce at (0.000, 0.000, 0.000), Nb at (0.000, 0.000, 0.500) and Rh at (0.500, 0.500, 0.290).

The total magnetization comes out at 0.00 Bohr magnetons per cell. For the density of states at the Fermi level, the calculation gives 4.29 states/eV per cell.

#ii
VASP calculation (PBE) on crystalline CeNbRh2 at its relaxed geometry.

The structure belongs to space group R-3m (No. 166, hexagonal axes); the cell edges are 2.9263, 2.9263 and 28.5312 Å and the angles 90.00°, 90.00° and 120.00°. The distinct sites, in fractional coordinates, are Ce at (0.0000, 0.0000, 0.0000), Nb at (0.0000, 0.0000, 0.5000) and Rh at (0.0000, 0.0000, 0.2425).

The total magnetization comes out at 0.00 Bohr magnetons per cell. For the density of states at the Fermi level, the calculation gives 19.35 states/eV per cell.

Last place for stability: #ii

#i
VASP calculation (PBE) on crystalline CeNbRu at its relaxed geometry.

The structure belongs to space group P3m1 (No. 156); the cell edges are 4.2730, 4.2730 and 4.1482 Å and the angles 90.00°, 90.00° and 120.00°. The distinct sites, in fractional coordinates, are Ce at (0.0000, 0.0000, 0.0000), Nb at (0.6667, 0.3333, 0.4532) and Ru at (0.3333, 0.6667, 0.5939).

The total magnetization comes out at 0.00 Bohr magnetons per cell. For the density of states at the Fermi level, the calculation gives 4.70 states/eV per cell.

#ii
VASP calculation (PBE) on crystalline CeNbRu at its relaxed geometry.

The structure belongs to space group I4mm (No. 107); the cell edges are 3.175, 3.175 and 11.935 Å and the angles 90.00°, 90.00° and 90.00°. The distinct sites, in fractional coordinates, are Ce at (0.000, 0.000, 0.000), Nb at (0.000, 0.000, 0.299) and Ru at (0.000, 0.000, 0.682).

The total magnetization comes out at 0.00 Bohr magnetons per cell. For the density of states at the Fermi level, the calculation gives 10.89 states/eV per cell.

Last place for stability: #i

#i
VASP calculation (PBE) on crystalline CeScNb at its relaxed geometry.

The structure belongs to space group Pmma (No. 51); the cell edges are 4.868, 3.078 and 9.031 Å and the angles 90.00°, 90.00° and 90.00°. The distinct sites, in fractional coordinates, are Ce at (0.250, 0.000, 0.082), Sc at (0.250, 0.500, 0.717) and Nb at (0.250, 0.000, 0.420).

The total magnetization comes out at 0.00 Bohr magnetons per cell. For the density of states at the Fermi level, the calculation gives 8.88 states/eV per cell.

#ii
VASP calculation (PBE) on crystalline CeScNb at its relaxed geometry.

The structure belongs to space group P3m1 (No. 156); the cell edges are 4.9385, 4.9385 and 3.1918 Å and the angles 90.00°, 90.00° and 120.00°. The distinct sites, in fractional coordinates, are Ce at (0.0000, 0.0000, 0.0000), Sc at (0.3333, 0.6667, 0.4999) and Nb at (0.6667, 0.3333, 0.0020).

The total magnetization comes out at 0.16 Bohr magnetons per cell. For the density of states at the Fermi level, the calculation gives 3.68 states/eV per cell.

#iii
VASP calculation (PBE) on crystalline CeScNb at its relaxed geometry.

The structure belongs to space group I4mm (No. 107); the cell edges are 3.609, 3.609 and 10.403 Å and the angles 90.00°, 90.00° and 90.00°. The distinct sites, in fractional coordinates, are Ce at (0.000, 0.000, 0.000), Sc at (0.000, 0.000, 0.307) and Nb at (0.000, 0.000, 0.649).

The total magnetization comes out at 0.00 Bohr magnetons per cell. For the density of states at the Fermi level, the calculation gives 10.65 states/eV per cell.

Last place for stability: #iii

#i
VASP calculation (PBE) on crystalline CeSc2Nb at its relaxed geometry.

The structure belongs to space group P4/mmm (No. 123); the cell edges are 3.699, 3.699 and 6.913 Å and the angles 90.00°, 90.00° and 90.00°. The distinct sites, in fractional coordinates, are Ce at (0.000, 0.000, 0.000), Sc at (0.500, 0.500, 0.289) and Nb at (0.000, 0.000, 0.500).

The total magnetization comes out at 0.67 Bohr magnetons per cell. For the density of states at the Fermi level, the calculation gives 7.55 states/eV per cell.

#ii
VASP calculation (PBE) on crystalline CeSc2Nb at its relaxed geometry.

The structure belongs to space group R-3m (No. 166, hexagonal axes); the cell edges are 3.0944, 3.0944 and 33.5229 Å and the angles 90.00°, 90.00° and 120.00°. The distinct sites, in fractional coordinates, are Ce at (0.0000, 0.0000, 0.0000), Sc at (0.0000, 0.0000, 0.4169) and Nb at (0.0000, 0.0000, 0.5000).

The total magnetization comes out at 0.48 Bohr magnetons per cell. For the density of states at the Fermi level, the calculation gives 23.96 states/eV per cell.

Last place for stability: #ii

#i
VASP calculation (PBE) on crystalline Ce2NbSi at its relaxed geometry.

The structure belongs to space group P4/mmm (No. 123); the cell edges are 4.228, 4.228 and 4.647 Å and the angles 90.00°, 90.00° and 90.00°. The distinct sites, in fractional coordinates, are Ce at (0.000, 0.500, 0.000), Nb at (0.000, 0.000, 0.500) and Si at (0.500, 0.500, 0.500).

The total magnetization comes out at 0.00 Bohr magnetons per cell. For the density of states at the Fermi level, the calculation gives 6.82 states/eV per cell.

#ii
VASP calculation (PBE) on crystalline Ce2NbSi at its relaxed geometry.

The structure belongs to space group R-3m (No. 166, hexagonal axes); the cell edges are 3.0378, 3.0378 and 32.1754 Å and the angles 90.00°, 90.00° and 120.00°. The distinct sites, in fractional coordinates, are Ce at (0.0000, 0.0000, 0.0886), Nb at (0.0000, 0.0000, 0.0000) and Si at (0.0000, 0.0000, 0.5000).

The total magnetization comes out at 0.00 Bohr magnetons per cell. For the density of states at the Fermi level, the calculation gives 21.25 states/eV per cell.

Last place for stability: #ii

#i
VASP calculation (PBE) on crystalline CeZr2Nb at its relaxed geometry.

The structure belongs to space group Fm-3m (No. 225); the cell edges are 7.103, 7.103 and 7.103 Å and the angles 90.00°, 90.00° and 90.00°. The distinct sites, in fractional coordinates, are Ce at (0.000, 0.000, 0.000), Zr at (0.250, 0.250, 0.250) and Nb at (0.000, 0.000, 0.500).

The total magnetization comes out at 0.00 Bohr magnetons per cell. For the density of states at the Fermi level, the calculation gives 38.55 states/eV per cell.

#ii
VASP calculation (PBE) on crystalline CeZr2Nb at its relaxed geometry.

The structure belongs to space group P4/mmm (No. 123); the cell edges are 4.613, 4.613 and 4.336 Å and the angles 90.00°, 90.00° and 90.00°. The distinct sites, in fractional coordinates, are Ce at (0.000, 0.000, 0.000), Zr at (0.000, 0.500, 0.500) and Nb at (0.500, 0.500, 0.000).

The total magnetization comes out at 0.00 Bohr magnetons per cell. For the density of states at the Fermi level, the calculation gives 8.03 states/eV per cell.

#iii
VASP calculation (PBE) on crystalline CeZr2Nb at its relaxed geometry.

The structure belongs to space group P4/mmm (No. 123); the cell edges are 3.471, 3.471 and 7.676 Å and the angles 90.00°, 90.00° and 90.00°. The distinct sites, in fractional coordinates, are Ce at (0.000, 0.000, 0.000), Zr at (0.500, 0.500, 0.287) and Nb at (0.000, 0.000, 0.500).

The total magnetization comes out at 0.01 Bohr magnetons per cell. For the density of states at the Fermi level, the calculation gives 7.45 states/eV per cell.

#iv
VASP calculation (PBE) on crystalline CeZr2Nb at its relaxed geometry.

The structure belongs to space group R-3m (No. 166, hexagonal axes); the cell edges are 3.1687, 3.1687 and 31.4999 Å and the angles 90.00°, 90.00° and 120.00°. The distinct sites, in fractional coordinates, are Ce at (0.0000, 0.0000, 0.0000), Zr at (0.0000, 0.0000, 0.2438) and Nb at (0.0000, 0.0000, 0.5000).

The total magnetization comes out at 0.00 Bohr magnetons per cell. For the density of states at the Fermi level, the calculation gives 22.10 states/eV per cell.

Last place for stability: #ii

#i
VASP calculation (PBE) on crystalline CeNd2 at its relaxed geometry.

The structure belongs to space group P-1 (No. 2); the cell edges are 3.588, 5.143 and 6.277 Å and the angles 114.11°, 106.49° and 90.02°. The distinct sites, in fractional coordinates, are Ce at (0.000, 0.000, 0.000) and Nd at (0.337, 0.336, 0.672).

The total magnetization comes out at 1.20 Bohr magnetons per cell. For the density of states at the Fermi level, the calculation gives 8.10 states/eV per cell.

#ii
VASP calculation (PBE) on crystalline CeNd2 at its relaxed geometry.

The structure belongs to space group Fd-3m (No. 227, origin choice 2); the cell edges are 9.436, 9.436 and 9.436 Å and the angles 90.00°, 90.00° and 90.00°. The distinct sites, in fractional coordinates, are Ce at (0.125, 0.125, 0.125) and Nd at (0.000, 0.000, 0.500).

The total magnetization comes out at 12.58 Bohr magnetons per cell. For the density of states at the Fermi level, the calculation gives 86.87 states/eV per cell.

#iii
VASP calculation (PBE) on crystalline CeNd2 at its relaxed geometry.

The structure belongs to space group I4/mmm (No. 139); the cell edges are 3.580, 3.580 and 15.304 Å and the angles 90.00°, 90.00° and 90.00°. The distinct sites, in fractional coordinates, are Ce at (0.000, 0.000, 0.000) and Nd at (0.000, 0.000, 0.342).

The total magnetization comes out at 0.33 Bohr magnetons per cell. For the density of states at the Fermi level, the calculation gives 10.76 states/eV per cell.

Last place for stability: #ii

#i
VASP calculation (PBE) on crystalline CeNdNi at its relaxed geometry.

The structure belongs to space group I4mm (No. 107); the cell edges are 3.535, 3.535 and 11.753 Å and the angles 90.00°, 90.00° and 90.00°. The distinct sites, in fractional coordinates, are Ce at (0.000, 0.000, 0.000), Nd at (0.000, 0.000, 0.724) and Ni at (0.000, 0.000, 0.387).

The total magnetization comes out at 1.22 Bohr magnetons per cell. For the density of states at the Fermi level, the calculation gives 11.19 states/eV per cell.

#ii
VASP calculation (PBE) on crystalline CeNdNi at its relaxed geometry.

The structure belongs to space group P-6m2 (No. 187); the cell edges are 4.4109, 4.4109 and 4.4596 Å and the angles 90.00°, 90.00° and 120.00°. The distinct sites, in fractional coordinates, are Ce at (0.0000, 0.0000, 0.0000), Nd at (0.3333, 0.6667, 0.5000) and Ni at (0.6667, 0.3333, 0.0000).

The total magnetization comes out at 0.00 Bohr magnetons per cell. For the density of states at the Fermi level, the calculation gives 4.70 states/eV per cell.

Last place for stability: #ii

#i
VASP calculation (PBE) on crystalline CeNdNi2 at its relaxed geometry.

The structure belongs to space group P4/mmm (No. 123); the cell edges are 3.464, 3.464 and 6.869 Å and the angles 90.00°, 90.00° and 90.00°. The distinct sites, in fractional coordinates, are Ce at (0.000, 0.000, 0.000), Nd at (0.000, 0.000, 0.500) and Ni at (0.500, 0.500, 0.211).

The total magnetization comes out at 0.00 Bohr magnetons per cell. For the density of states at the Fermi level, the calculation gives 5.63 states/eV per cell.

#ii
VASP calculation (PBE) on crystalline CeNdNi2 at its relaxed geometry.

The structure belongs to space group R-3m (No. 166, hexagonal axes); the cell edges are 3.9599, 3.9599 and 19.8602 Å and the angles 90.00°, 90.00° and 120.00°. The distinct sites, in fractional coordinates, are Ce at (0.0000, 0.0000, 0.0000), Nd at (0.0000, 0.0000, 0.5000) and Ni at (0.0000, 0.0000, 0.2566).

The total magnetization comes out at 0.00 Bohr magnetons per cell. For the density of states at the Fermi level, the calculation gives 8.14 states/eV per cell.

Last place for stability: #ii

#i
VASP calculation (PBE) on crystalline CeNdNiPt at its relaxed geometry.

The structure belongs to space group Amm2 (No. 38); the cell edges are 4.424, 3.832 and 10.762 Å and the angles 90.00°, 90.00° and 90.00°. The distinct sites, in fractional coordinates, are Ce at (0.000, 0.000, 0.000), Nd at (0.500, 0.000, 0.275), Ni at (0.500, 0.000, 0.545) and Pt at (0.000, 0.000, 0.712).

The total magnetization comes out at 0.98 Bohr magnetons per cell. For the density of states at the Fermi level, the calculation gives 12.94 states/eV per cell.

#ii
VASP calculation (PBE) on crystalline CeNdNiPt at its relaxed geometry.

The structure belongs to space group F-43m (No. 216); the cell edges are 7.079, 7.079 and 7.079 Å and the angles 90.00°, 90.00° and 90.00°. The distinct sites, in fractional coordinates, are Ce at (0.000, 0.000, 0.000), Nd at (0.000, 0.000, 0.500), Ni at (0.250, 0.250, 0.750) and Pt at (0.250, 0.250, 0.250).

The total magnetization comes out at 2.72 Bohr magnetons per cell. For the density of states at the Fermi level, the calculation gives 30.54 states/eV per cell.

Last place for stability: #ii

#i
VASP calculation (PBE) on crystalline CeNd2Os at its relaxed geometry.

The structure belongs to space group Pnma (No. 62); the cell edges are 7.269, 9.878 and 6.521 Å and the angles 90.00°, 90.00° and 90.00°. The distinct sites, in fractional coordinates, are Ce at (0.054, 0.250, 0.161), Nd at (0.170, 0.066, 0.675) and Os at (0.130, 0.750, 0.488).

The total magnetization comes out at 1.77 Bohr magnetons per cell. For the density of states at the Fermi level, the calculation gives 28.02 states/eV per cell.

#ii
VASP calculation (PBE) on crystalline CeNd2Os at its relaxed geometry.

The structure belongs to space group Cmcm (No. 63); the cell edges are 3.906, 12.416 and 9.695 Å and the angles 90.00°, 90.00° and 90.00°. The distinct sites, in fractional coordinates, are Ce at (0.000, 0.089, 0.250), Nd at (0.000, 0.356, 0.068) and Os at (0.000, 0.268, 0.750).

The total magnetization comes out at 0.63 Bohr magnetons per cell. For the density of states at the Fermi level, the calculation gives 29.20 states/eV per cell.

Last place for stability: #ii

#i
VASP calculation (PBE) on crystalline CeNd2Os2 at its relaxed geometry.

The structure belongs to space group Immm (No. 71); the cell edges are 4.351, 5.824 and 9.612 Å and the angles 90.00°, 90.00° and 90.00°. The distinct sites, in fractional coordinates, are Ce at (0.000, 0.000, 0.000), Nd at (0.000, 0.500, 0.196) and Os at (0.000, 0.232, 0.500).

The total magnetization comes out at 0.00 Bohr magnetons per cell. For the density of states at the Fermi level, the calculation gives 8.28 states/eV per cell.

#ii
VASP calculation (PBE) on crystalline CeNd2Os2 at its relaxed geometry.

The structure belongs to space group C2/c (No. 15); the cell edges are 10.126, 6.013 and 8.184 Å and the angles 90.00°, 101.38° and 90.00°. The distinct sites, in fractional coordinates, are Ce at (0.000, 0.128, 0.250), Nd at (0.150, 0.367, 0.651) and Os at (0.138, 0.139, 0.010).

The total magnetization comes out at 0.00 Bohr magnetons per cell. For the density of states at the Fermi level, the calculation gives 17.42 states/eV per cell.

Last place for stability: #ii